A geometry-optimized ZrCl3 structure. Source: Alexandria, functional PBE.

Output
The calculation puts the formation energy from raw total energies at -6.9 eV per formula unit.

CIF file:
```
data_ZrCl3
_chemical_formula_sum 'Zr4 Cl12'
_space_group_name_H-M_alt 'C 1 2/m 1'
_space_group_IT_number 12
_space_group_name_Hall '-C 2y'
_cell_length_a 6.5056
_cell_length_b 10.7541
_cell_length_c 7.0840
_cell_angle_alpha 90.00
_cell_angle_beta 106.12
_cell_angle_gamma 90.00
loop_
_atom_site_label
_atom_site_fract_x
_atom_site_fract_y
_atom_site_fract_z
Zr1 0.0000 0.1429 0.0000
Cl1 0.2311 0.0000 0.2511
Cl2 0.2492 0.3235 0.2089
```

A geometry-optimized Pr2GaRh3 structure. Source: Alexandria, functional PBE.

Output
For the energy of formation, the calculation gives -438 meV/atom. For the energy above the most stable polymorph in this dataset, the calculation gives 321 meV per atom.

CIF file:
```
data_Pr2GaRh3
_chemical_formula_sum 'Pr4 Ga2 Rh6'
_space_group_name_H-M_alt 'I m m m'
_space_group_IT_number 71
_space_group_name_Hall '-I 2 2'
_cell_length_a 4.3188
_cell_length_b 5.4100
_cell_length_c 10.9241
_cell_angle_alpha 90.00
_cell_angle_beta 90.00
_cell_angle_gamma 90.00
loop_
_atom_site_label
_atom_site_fract_x
_atom_site_fract_y
_atom_site_fract_z
Pr1 0.0000 0.0000 0.1848
Ga1 0.0000 0.0000 0.5000
Rh1 0.0000 0.5000 0.1233
Rh2 0.0000 0.5000 0.5000
```

A geometry-optimized H3Pt structure. Source: Alexandria, functional PBE.

Output
For the energy above the most stable polymorph in this dataset, the calculation gives 372 meV per atom.

CIF file:
```
data_H3Pt
_chemical_formula_sum 'H3 Pt1'
_space_group_name_H-M_alt 'P m m 2'
_space_group_IT_number 25
_space_group_name_Hall 'P 2 -2'
_cell_length_a 2.7804
_cell_length_b 2.8642
_cell_length_c 3.9266
_cell_angle_alpha 90.00
_cell_angle_beta 90.00
_cell_angle_gamma 90.00
loop_
_atom_site_label
_atom_site_fract_x
_atom_site_fract_y
_atom_site_fract_z
H1 0.0000 0.0000 0.0000
H2 0.0000 0.5000 0.2806
H3 0.5000 0.5000 0.5941
Pt1 0.5000 0.0000 0.3035
```

Here are the calculated raw total energy numbers, same order: -5.2411; -6.2115; -3.6533 (eV per atom).
Here are the calculated N(E_F) numbers, same order: 0.00; 6.50; 0.49 (states/eV/cell).